YTmPu: optimized geometry, GGA-PBE.

Computed properties:
- spin magnetization (μB per cell) = 13.03
- final energy (eV per formula unit) = -24.542
- energy above the lowest structure with this stoichiometry (eV/atom) = 0.130

Geometry as CIF:
```
data_YTmPu
_space_group_name_H-M_alt 'P 1'
_space_group_IT_number 1
_space_group_name_Hall 'P 1'
_cell_length_a 5.5302
_cell_length_b 5.5302
_cell_length_c 6.8020
_cell_angle_alpha 90.00
_cell_angle_beta 90.00
_cell_angle_gamma 120.00
loop_
_atom_site_label
_atom_site_type_symbol
_atom_site_fract_x
_atom_site_fract_y
_atom_site_fract_z
_atom_site_occupancy
Y1 Y 0.0000 0.0000 0.0000 1
Y2 Y 0.0000 0.0000 0.5000 1
Tm1 Tm 0.3333 0.6667 0.2500 1
Tm2 Tm 0.6667 0.3333 0.7500 1
Pu1 Pu 0.3333 0.6667 0.7500 1
Pu2 Pu 0.6667 0.3333 0.2500 1
```